Here is an optimized crystal structure of Pm9Sm4Mg11 from Alexandria via LeMat-Bulk. Energies are from PBE.

Cell: 16.2191 23.3128 3.7228 Å, 90.00 90.00 90.00°
Last column: nearest neighbours and their distance in Å.
Space group Cmmm (No. 65)
Symmetry-distinct sites (fractional):
Pm 0.0000 0.0000 0.0000 (multiplicity 2)  4 Sm 3.28
Pm 0.1159 0.2374 0.0000 (multiplicity 8)  8 Mg 3.33-3.50, 1 Sm 3.54, 2 Pm 3.72
Pm 0.1177 0.4105 0.0000 (multiplicity 8)  8 Mg 3.32-3.39, 1 Sm 3.65
Sm 0.1573 0.0882 0.0000 (multiplicity 8)  3 Pm 3.28-3.65, 6 Mg 3.30-3.38
Mg 0.0000 0.1392 0.5000 (multiplicity 4)  4 Sm 3.38, 6 Pm 3.50-3.74, 2 Mg 3.72
Mg 0.0000 0.3256 0.5000 (multiplicity 4)  8 Pm 3.32-3.35
Mg 0.0000 0.5000 0.5000 (multiplicity 2)  8 Pm 3.39, 4 Mg 3.72-3.74
Mg 0.2303 0.5000 0.5000 (multiplicity 4)  4 Sm 3.32, 4 Pm 3.34
Mg 0.2339 0.3228 0.5000 (multiplicity 8)  2 Sm 3.30, 6 Pm 3.33-3.37, 1 Mg 3.43

Results
Energy of formation from the pure elements in kJ/mol of formula units: -117
Magnetic moment in μB per formula unit: 0.00
V in Å³/cell: 1408